one) Compound: Dy2HgIr
Source: Alexandria via LeMat-Bulk
Functional: PBE
Structure: relaxed

```
data_Dy2HgIr
_chemical_formula_sum 'Dy2 Hg1 Ir1'
_cell_length_a 3.510
_cell_length_b 3.510
_cell_length_c 7.471
_cell_angle_alpha 90.00
_cell_angle_beta 90.00
_cell_angle_gamma 90.00
_space_group_name_H-M_alt 'P 4/m m m'
_space_group_IT_number 123
_space_group_name_Hall '-P 4 2'
loop_
_atom_site_label
_atom_site_type_symbol
_atom_site_fract_x
_atom_site_fract_y
_atom_site_fract_z
Dy1 Dy 0.000 0.000 0.219
Hg1 Hg 0.500 0.500 0.500
Ir1 Ir 0.500 0.500 0.000
```

As for the size of the total moment: 0.0000 μB/atom. As for the mass density: 12951 kg/m3. The density of states at the Fermi level is 1.7 states/eV per cell.



two) Compound: Dy2HgIr
Source: Alexandria via LeMat-Bulk
Functional: PBE
Structure: relaxed

```
data_Dy2HgIr
_chemical_formula_sum 'Dy6 Hg3 Ir3'
_cell_length_a 4.0990
_cell_length_b 4.0990
_cell_length_c 21.9918
_cell_angle_alpha 90.00
_cell_angle_beta 90.00
_cell_angle_gamma 120.00
_space_group_name_H-M_alt 'R 3 m'
_space_group_IT_number 160
_space_group_name_Hall 'R 3 -2"'
loop_
_atom_site_label
_atom_site_type_symbol
_atom_site_fract_x
_atom_site_fract_y
_atom_site_fract_z
Dy1 Dy 0.0000 0.0000 0.0000
Dy2 Dy 0.0000 0.0000 0.2016
Hg1 Hg 0.0000 0.0000 0.4352
Ir1 Ir 0.0000 0.0000 0.5994
```

As for the size of the total moment: 0.0000 μB/atom. As for the mass density: 11174 kg/m3. The density of states at the Fermi level is 6.1 states/eV per cell.



three) Compound: Dy2HgIr
Source: Alexandria via LeMat-Bulk
Functional: PBE
Structure: relaxed

```
data_Dy2HgIr
_chemical_formula_sum 'Dy6 Hg3 Ir3'
_cell_length_a 4.0257
_cell_length_b 4.0257
_cell_length_c 22.6461
_cell_angle_alpha 90.00
_cell_angle_beta 90.00
_cell_angle_gamma 120.00
_space_group_name_H-M_alt 'R -3 m'
_space_group_IT_number 166
_space_group_name_Hall '-R 3 2"'
loop_
_atom_site_label
_atom_site_type_symbol
_atom_site_fract_x
_atom_site_fract_y
_atom_site_fract_z
Dy1 Dy 0.0000 0.0000 0.2334
Hg1 Hg 0.0000 0.0000 0.0000
Ir1 Ir 0.0000 0.0000 0.5000
```

As for the size of the total moment: 0.0000 μB/atom. As for the mass density: 11251 kg/m3. The density of states at the Fermi level is 6.3 states/eV per cell.



Which of them is the most stable, and which is the least stable? one) and two), in that order.



one) Compound: Dy4HgIr
Source: Alexandria via LeMat-Bulk
Functional: PBE
Structure: relaxed

```
data_Dy4HgIr
_chemical_formula_sum 'Dy8 Hg2 Ir2'
_cell_length_a 7.316
_cell_length_b 7.010
_cell_length_c 6.943
_cell_angle_alpha 90.00
_cell_angle_beta 92.46
_cell_angle_gamma 90.00
_space_group_name_H-M_alt 'P 1 21/c 1'
_space_group_IT_number 14
_space_group_name_Hall '-P 2ybc'
loop_
_atom_site_label
_atom_site_type_symbol
_atom_site_fract_x
_atom_site_fract_y
_atom_site_fract_z
Dy1 Dy 0.141 0.158 0.174
Dy2 Dy 0.318 0.647 0.130
Hg1 Hg 0.500 0.000 0.000
Ir1 Ir 0.000 0.000 0.500
```

As for the size of the total moment: 0.0000 μB/atom. As for the mass density: 9736 kg/m3. The density of states at the Fermi level is 12.5 states/eV per cell.



two) Compound: Dy4HgIr
Source: Alexandria via LeMat-Bulk
Functional: PBE
Structure: relaxed

```
data_Dy4HgIr
_chemical_formula_sum 'Dy64 Hg16 Ir16'
_cell_length_a 13.556
_cell_length_b 13.556
_cell_length_c 13.556
_cell_angle_alpha 90.00
_cell_angle_beta 90.00
_cell_angle_gamma 90.00
_space_group_name_H-M_alt 'F -4 3 m'
_space_group_IT_number 216
_space_group_name_Hall 'F -4 2 3'
loop_
_atom_site_label
_atom_site_type_symbol
_atom_site_fract_x
_atom_site_fract_y
_atom_site_fract_z
Dy1 Dy 0.000 0.000 0.188
Dy2 Dy 0.060 0.250 0.750
Dy3 Dy 0.101 0.101 0.399
Hg1 Hg 0.165 0.165 0.165
Ir1 Ir 0.108 0.108 0.608
```

As for the size of the total moment: 0.0000 μB/atom. As for the mass density: 11121 kg/m3. The density of states at the Fermi level is 55.2 states/eV per cell.



Which of them is the most stable, and which is the least stable? two) and one), in that order.



one) Compound: KDyHg2
Source: Alexandria via LeMat-Bulk
Functional: PBE
Structure: relaxed

```
data_KDyHg2
_chemical_formula_sum 'K1 Dy1 Hg2'
_cell_length_a 3.800
_cell_length_b 3.800
_cell_length_c 8.347
_cell_angle_alpha 90.00
_cell_angle_beta 90.00
_cell_angle_gamma 90.00
_space_group_name_H-M_alt 'P 4/m m m'
_space_group_IT_number 123
_space_group_name_Hall '-P 4 2'
loop_
_atom_site_label
_atom_site_type_symbol
_atom_site_fract_x
_atom_site_fract_y
_atom_site_fract_z
K1 K 0.000 0.000 0.000
Dy1 Dy 0.000 0.000 0.500
Hg1 Hg 0.500 0.500 0.297
```

As for the size of the total moment: 0.0000 μB/atom. As for the mass density: 8305 kg/m3. The density of states at the Fermi level is 3.1 states/eV per cell.



two) Compound: KDyHg2
Source: Alexandria via LeMat-Bulk
Functional: PBE
Structure: relaxed

```
data_KDyHg2
_chemical_formula_sum 'K3 Dy3 Hg6'
_cell_length_a 4.0448
_cell_length_b 4.0448
_cell_length_c 28.0567
_cell_angle_alpha 90.00
_cell_angle_beta 90.00
_cell_angle_gamma 120.00
_space_group_name_H-M_alt 'R -3 m'
_space_group_IT_number 166
_space_group_name_Hall '-R 3 2"'
loop_
_atom_site_label
_atom_site_type_symbol
_atom_site_fract_x
_atom_site_fract_y
_atom_site_fract_z
K1 K 0.0000 0.0000 0.0000
Dy1 Dy 0.0000 0.0000 0.5000
Hg1 Hg 0.0000 0.0000 0.2376
```

As for the size of the total moment: 0.0000 μB/atom. As for the mass density: 7554 kg/m3. The density of states at the Fermi level is 9.2 states/eV per cell.



Which of them is the most stable, and which is the least stable? one) and two), in that order.